Computed, not measured: a geometry-optimized Tb4NdDy3 structure at the PBE level of DFT.

Geometry as CIF:
```
data_Tb4NdDy3
_chemical_formula_sum 'Tb8 Nd2 Dy6'
_symmetry_space_group_name_H-M 'P 1'
_symmetry_Int_Tables_number 1
_cell_length_a 11.363
_cell_length_b 7.288
_cell_length_c 6.301
_cell_angle_alpha 90.00
_cell_angle_beta 90.00
_cell_angle_gamma 90.00
loop_
_symmetry_equiv_pos_as_xyz
'x,y,z'
loop_
_atom_site_label
_atom_site_type_symbol
_atom_site_fract_x
_atom_site_fract_y
_atom_site_fract_z
_atom_site_occupancy
Tb1 Tb 0.000 0.125 0.000 1
Tb2 Tb 0.000 0.875 0.498 1
Tb3 Tb 0.248 0.876 0.832 1
Tb4 Tb 0.252 0.124 0.332 1
Tb5 Tb 0.500 0.125 0.998 1
Tb6 Tb 0.500 0.875 0.500 1
Tb7 Tb 0.748 0.124 0.332 1
Tb8 Tb 0.752 0.876 0.832 1
Nd1 Nd 0.000 0.375 0.499 1
Nd2 Nd 0.500 0.625 0.999 1
Dy1 Dy 0.000 0.625 0.999 1
Dy2 Dy 0.250 0.374 0.832 1
Dy3 Dy 0.250 0.626 0.332 1
Dy4 Dy 0.500 0.375 0.499 1
Dy5 Dy 0.750 0.374 0.832 1
Dy6 Dy 0.750 0.626 0.332 1
```

Values from the calculation:
The calculation puts the energy above the most stable polymorph in this dataset at 0 meV per atom. The calculation puts the magnetization at 0.000 μB/atom. The volume is 32.61 Å³ per atom. The raw total energy is -4.6222 eV/atom. Its space group is No. 31. The value obtained for the formation energy is 14.7 meV per atom.